LaHgSb3: optimized geometry, PBE.

Values from the calculation:
Formation energy from raw total energies ... 0.449 eV/atom
Electronic total energy ... -3.0701 eV per atom
V ... 45.7 Å³/atom

POSCAR file:
```
LaHgSb3
1.0
-3.709 -4.770 0.926
1.793 -0.261 5.838
-4.516 3.814 1.557
Sb Hg La
3 1 1
direct
0.000 0.000 0.500 Sb
0.500 0.000 0.000 Sb
0.000 0.500 0.000 Sb
0.500 0.500 0.500 Hg
0.000 0.000 0.000 La
```